The following is a DFT calculation (GGA-PBE) of a geometry-optimized Pm6Dy2Y3 structure.

The calculation puts the formation energy at 0.285 eV per atom. The value obtained for the total magnetization is 0.0 μB/f.u. Its energy relative to the lowest polymorph listed for this composition is 273.3 meV per atom.

The structure belongs to space group I4/mmm (No. 139); the cell edges are 4.7953, 4.7953 and 33.5327 Å and the angles 90.00°, 90.00° and 90.00°. The inequivalent atoms are Pm at (0.0000, 0.0000, 0.1951), Pm at (0.0000, 0.5000, 0.1195), Dy at (0.0000, 0.0000, 0.0452), Y at (0.0000, 0.0000, 0.2987) and Y at (0.0000, 0.0000, 0.5000).